Material: Cr6CoC
Method: DFT, PBE
State: optimized geometry

abc: 5.035 5.101 5.078
angles: 60.53 60.82 59.99
Site moments in Bohr magnetons follow the coordinates.
Fractional coordinates of all 8 atoms:
Cr 0.994 0.445 0.751  0.14
Cr 0.809 0.991 0.747  0.13
Cr 0.552 0.190 0.251  0.11
Cr 0.191 0.009 0.253  0.13
Cr 0.006 0.555 0.249  0.14
Cr 0.448 0.810 0.749  0.11
Co 0.500 0.500 0.500  1.41
C 0.000 0.000 0.000  -0.02

Values from the calculation:
The space-group type is No. 2. The calculated formation energy is 445 meV per atom. The volume comes out at 11.6 Å³/atom. The total magnetic moment is 2.20 μB per formula unit. As for the density: 6.8 g cm⁻³.

---

Material: CrCoC3
Method: DFT, PBE
State: optimized geometry

abc: 3.763 3.763 3.763
angles: 90.00 90.00 90.00
Site moments in Bohr magnetons follow the coordinates.
Fractional coordinates of all 5 atoms:
Cr 0.000 0.000 0.000  -0.31
C 0.000 0.500 0.000  0.08
C 0.000 0.000 0.500  0.09
C 0.500 0.000 0.000  0.07
Co 0.500 0.500 0.500  -1.95

Values from the calculation:
The space-group type is No. 221. The calculated formation energy is 1953 meV per atom. The volume comes out at 10.7 Å³/atom. The total magnetic moment is 1.82 μB per formula unit. The value obtained for the energy above the most stable polymorph in this dataset is 0.0000 eV per atom. As for the density: 4.6 g cm⁻³.

---

Material: Cr2CoC
Method: DFT, PBE
State: optimized geometry

abc: 6.520 6.520 5.018
angles: 49.48 49.48 90.00
Site moments in Bohr magnetons follow the coordinates.
Fractional coordinates of all 8 atoms:
Cr 0.522 0.125 0.250  0.36
Cr 0.228 0.625 0.250  0.35
Cr 0.375 0.478 0.750  0.34
Cr 0.875 0.772 0.750  0.33
C 0.500 0.500 0.000  0.00
C 0.250 0.750 0.500  0.00
Co 0.000 0.000 0.000  0.60
Co 0.750 0.250 0.500  0.60

Values from the calculation:
The space-group type is No. 122. The calculated formation energy is 327 meV per atom. The volume comes out at 10.5 Å³/atom. The total magnetic moment is 1.31 μB per formula unit. As for the density: 6.9 g cm⁻³.

---

Material: Cr2Co2C
Method: DFT, PBE
State: optimized geometry

abc: 2.947 2.947 6.706
angles: 77.31 77.31 90.00
Site moments in Bohr magnetons follow the coordinates.
Fractional coordinates of all 5 atoms:
Cr 0.418 0.418 0.164  0.06
Cr 0.582 0.582 0.836  0.06
C 0.000 0.000 0.000  -0.01
Co 0.750 0.250 0.500  1.32
Co 0.250 0.750 0.500  1.32

Values from the calculation:
The space-group type is No. 139. The calculated formation energy is 933 meV per atom. The volume comes out at 11.1 Å³/atom. The total magnetic moment is 2.73 μB per formula unit. As for the density: 7.0 g cm⁻³.

---

Material: Cr2CoC
Method: DFT, PBE
State: optimized geometry

abc: 2.762 2.762 6.395
angles: 77.53 77.53 60.00
Site moments in Bohr magnetons follow the coordinates.
Fractional coordinates of all 4 atoms:
Cr 0.060 0.060 0.819  0.19
Cr 0.274 0.274 0.177  -0.18
Co 0.499 0.499 0.502  1.13
C 0.666 0.666 0.001  0.00

Values from the calculation:
The space-group type is No. 160. The calculated formation energy is 74 meV per atom. The volume comes out at 10.2 Å³/atom. The total magnetic moment is 1.11 μB per formula unit. As for the density: 7.1 g cm⁻³.

---

Material: Cr4Co2C
Method: DFT, PBE
State: optimized geometry

abc: 7.470 7.470 7.470
angles: 60.00 60.00 60.00
Site moments in Bohr magnetons follow the coordinates.
Fractional coordinates of all 28 atoms:
Cr 0.063 0.063 0.437  0.17
Cr 0.625 0.125 0.625  -0.17
Cr 0.187 0.813 0.813  0.17
Cr 0.063 0.437 0.063  0.17
Cr 0.437 0.437 0.063  0.17
Cr 0.813 0.187 0.187  0.17
Cr 0.187 0.813 0.187  0.17
Cr 0.187 0.187 0.813  0.17
Cr 0.437 0.063 0.063  0.17
Cr 0.813 0.813 0.187  0.17
Cr 0.625 0.625 0.125  -0.17
Cr 0.063 0.437 0.437  0.17
Cr 0.437 0.063 0.437  0.17
Cr 0.813 0.187 0.813  0.17
Cr 0.625 0.625 0.625  -0.17
Cr 0.125 0.625 0.625  -0.17
C 0.625 0.125 0.125  -0.01
C 0.125 0.625 0.125  -0.01
C 0.125 0.125 0.125  -0.01
C 0.125 0.125 0.625  -0.01
Co 0.416 0.416 0.751  0.34
Co 0.416 0.751 0.416  0.34
Co 0.416 0.416 0.416  0.34
Co 0.834 0.834 0.834  0.34
Co 0.834 0.834 0.499  0.34
Co 0.499 0.834 0.834  0.34
Co 0.751 0.416 0.416  0.34
Co 0.834 0.499 0.834  0.34

Values from the calculation:
The space-group type is No. 227. The calculated formation energy is 14 meV per atom. The volume comes out at 10.5 Å³/atom. The total magnetic moment is 1.04 μB per formula unit. As for the density: 7.6 g cm⁻³.

---

Material: CrCoC3
Method: DFT, PBE
State: optimized geometry

abc: 3.649 3.649 3.649
angles: 90.00 90.00 90.00
Site moments in Bohr magnetons follow the coordinates.
Fractional coordinates of all 5 atoms:
Cr 0.500 0.500 0.500  -0.02
C 0.000 0.500 0.000  0.01
C 0.000 0.000 0.500  0.03
C 0.500 0.000 0.000  0.00
Co 0.000 0.000 0.000  0.09

Values from the calculation:
The space-group type is No. 221. The calculated formation energy is 2243 meV per atom. The volume comes out at 9.7 Å³/atom. The total magnetic moment is 0.11 μB per formula unit. The value obtained for the energy above the most stable polymorph in this dataset is 0.2898 eV per atom. As for the density: 5.0 g cm⁻³.

---

Material: Cr2CoC
Method: DFT, PBE
State: optimized geometry

abc: 2.740 2.740 7.030
angles: 78.76 78.76 60.00
Site moments in Bohr magnetons follow the coordinates.
Fractional coordinates of all 4 atoms:
Cr 0.112 0.112 0.664  0.71
Cr 0.888 0.888 0.336  0.71
C 0.500 0.500 0.500  -0.06
Co 0.000 0.000 0.000  1.42

Values from the calculation:
The space-group type is No. 166. The calculated formation energy is 422 meV per atom. The volume comes out at 11.1 Å³/atom. The total magnetic moment is 2.82 μB per formula unit. As for the density: 6.5 g cm⁻³.

---

Q: What is the formula in the fifth record?
A: Cr2CoC